Entry 1:
Crystalline RbSb2Ir at its relaxed geometry. Source: Alexandria via LeMat-Bulk, functional PBE.

Formation energy without anion corrections = -0.013 eV/atom
Energy above the most stable polymorph in this dataset = 0.264 eV per atom
D(E_F) = 15.9 states/eV per cell

Unit cell a=8.220 b=8.220 c=8.198 alpha=90.00 beta=90.00 gamma=90.00
Space group I-42d (No. 122)
Asymmetric unit:
Rb (0.000, 0.000, 0.000) x4
Sb (0.138, 0.750, 0.625) x8
Ir (0.000, 0.000, 0.500) x4

Entry 2:
Crystalline Rb2Sb2Ir at its relaxed geometry. Source: Alexandria via LeMat-Bulk, functional PBE.

Formation energy without anion corrections = -0.198 eV/atom
D(E_F) = 5.8 states/eV per cell

Unit cell a=6.974 b=6.974 c=6.183 alpha=90.00 beta=90.00 gamma=90.00
Space group P4/mbm (No. 127)
Asymmetric unit:
Rb (0.177, 0.323, 0.000) x4
Sb (0.147, 0.647, 0.500) x4
Ir (0.000, 0.000, 0.500) x2